Entry 1:
{
  "formula": "HoHfZr",
  "functional": "PBE",
  "state": "optimized geometry",
  "magmom_total_mub_per_fu": 0.000,
  "dos_at_fermi_per_ev_fu": 4.31,
  "ef_mev_per_atom": 112,
  "relative_energy_ev_per_fu": 0.01,
  "cell": [[2.2635, -7.4274, 0.0000], [2.2635, 7.4274, 0.0000], [0.0000, 0.0000, 4.5146]],
  "species": ["Ho", "Ho", "Hf", "Hf", "Zr", "Zr"],
  "fractional_positions": [[0.2499, 0.7501, 0.7500], [0.7501, 0.2499, 0.2500], [0.0717, 0.9283, 0.2500], [0.9283, 0.0717, 0.7500], [0.4275, 0.5725, 0.2500], [0.5725, 0.4275, 0.7500]]
}

Entry 2:
{
  "formula": "Pr2NdTm",
  "functional": "PBE",
  "state": "optimized geometry",
  "magmom_total_mub_per_fu": 0.000,
  "dos_at_fermi_per_ev_fu": 8.98,
  "ef_mev_per_atom": 123,
  "relative_energy_ev_per_fu": 0.43,
  "cell": [[0.0000, 4.1034, 4.1034], [4.1034, 0.0000, 4.1034], [4.1034, 4.1034, 0.0000]],
  "species": ["Pr", "Pr", "Nd", "Tm"],
  "fractional_positions": [[0.2500, 0.2500, 0.2500], [0.7500, 0.7500, 0.7500], [0.0000, 0.0000, 0.0000], [0.5000, 0.5000, 0.5000]]
}

Entry 3:
{
  "formula": "RbAlTe2",
  "functional": "PBE",
  "state": "optimized geometry",
  "e_form_raw_kcal_per_mol_atoms": -15.87,
  "magmom_total_mub_per_fu": 0.000,
  "dos_at_fermi_per_ev_fu": 0.00,
  "cell": [[10.0236, 0.0000, 0.0000], [0.0000, 4.0269, 0.0000], [-2.5738, 0.0000, 14.3539]],
  "species": ["Rb", "Rb", "Rb", "Rb", "Al", "Al", "Al", "Al", "Te", "Te", "Te", "Te", "Te", "Te", "Te", "Te"],
  "fractional_positions": [[0.1489, 0.0044, 0.3989], [0.1489, 0.4956, 0.8989], [0.8511, 0.5044, 0.1011], [0.8511, 0.9956, 0.6011], [0.3675, 0.5050, 0.1771], [0.3675, 0.9950, 0.6771], [0.6325, 0.0050, 0.3229], [0.6325, 0.4950, 0.8229], [0.1786, 0.0046, 0.1347], [0.1786, 0.4954, 0.6347], [0.4478, 0.5054, 0.3617], [0.4478, 0.9946, 0.8617], [0.5522, 0.0054, 0.1383], [0.5522, 0.4946, 0.6383], [0.8214, 0.5046, 0.3653], [0.8214, 0.9954, 0.8653]]
}

Entry 4:
{
  "formula": "Ta3Tc5H12",
  "functional": "PBE",
  "state": "optimized geometry",
  "magmom_total_mub_per_fu": 0.000,
  "dos_at_fermi_per_ev_fu": 8.63,
  "cell": [[-5.4558, 5.4558, 5.4558], [5.4558, -5.4558, 5.4558], [5.4558, 5.4558, -5.4558]],
  "species": ["Ta", "Ta", "Ta", "Ta", "Ta", "Ta", "Ta", "Ta", "Ta", "Ta", "Ta", "Ta", "Tc", "Tc", "Tc", "Tc", "Tc", "Tc", "Tc", "Tc", "Tc", "Tc", "Tc", "Tc", "Tc", "Tc", "Tc", "Tc", "Tc", "Tc", "Tc", "Tc", "H", "H", "H", "H", "H", "H", "H", "H", "H", "H", "H", "H", "H", "H", "H", "H", "H", "H", "H", "H", "H", "H", "H", "H", "H", "H", "H", "H", "H", "H", "H", "H", "H", "H", "H", "H", "H", "H", "H", "H", "H", "H", "H", "H", "H", "H", "H", "H"],
  "fractional_positions": [[0.1250, 0.2500, 0.3750], [0.1250, 0.3750, 0.7500], [0.2500, 0.3750, 0.1250], [0.2500, 0.8750, 0.6250], [0.3750, 0.1250, 0.2500], [0.3750, 0.7500, 0.1250], [0.6250, 0.2500, 0.8750], [0.6250, 0.8750, 0.7500], [0.7500, 0.1250, 0.3750], [0.7500, 0.6250, 0.8750], [0.8750, 0.6250, 0.2500], [0.8750, 0.7500, 0.6250], [0.0000, 0.0000, 0.0000], [0.0000, 0.0000, 0.5000], [0.0000, 0.5000, 0.0000], [0.0000, 0.5000, 0.5000], [0.1250, 0.7500, 0.8750], [0.1250, 0.8750, 0.2500], [0.2500, 0.1250, 0.8750], [0.2500, 0.6250, 0.3750], [0.3750, 0.2500, 0.6250], [0.3750, 0.6250, 0.7500], [0.5000, 0.0000, 0.0000], [0.5000, 0.0000, 0.5000], [0.5000, 0.5000, 0.0000], [0.5000, 0.5000, 0.5000], [0.6250, 0.3750, 0.2500], [0.6250, 0.7500, 0.3750], [0.7500, 0.3750, 0.6250], [0.7500, 0.8750, 0.1250], [0.8750, 0.1250, 0.7500], [0.8750, 0.2500, 0.1250], [0.0533, 0.2203, 0.1331], [0.0533, 0.3330, 0.9202], [0.0798, 0.6331, 0.4128], [0.0798, 0.9467, 0.6670], [0.0872, 0.7203, 0.6670], [0.0872, 0.8669, 0.4202], [0.1331, 0.0533, 0.2203], [0.1331, 0.5798, 0.9128], [0.1670, 0.2203, 0.5872], [0.1670, 0.4467, 0.5798], [0.2203, 0.1331, 0.0533], [0.2203, 0.5872, 0.1670], [0.2797, 0.3330, 0.9128], [0.2797, 0.4467, 0.3669], [0.3330, 0.9128, 0.2797], [0.3330, 0.9202, 0.0533], [0.3669, 0.2797, 0.4467], [0.3669, 0.5872, 0.9202], [0.4128, 0.0798, 0.6331], [0.4128, 0.8330, 0.7797], [0.4202, 0.0872, 0.8669], [0.4202, 0.8330, 0.5533], [0.4467, 0.3669, 0.2797], [0.4467, 0.5798, 0.1670], [0.5533, 0.4202, 0.8330], [0.5533, 0.6331, 0.7203], [0.5798, 0.1670, 0.4467], [0.5798, 0.9128, 0.1331], [0.5872, 0.1670, 0.2203], [0.5872, 0.9202, 0.3669], [0.6331, 0.4128, 0.0798], [0.6331, 0.7203, 0.5533], [0.6670, 0.0798, 0.9467], [0.6670, 0.0872, 0.7203], [0.7203, 0.5533, 0.6331], [0.7203, 0.6670, 0.0872], [0.7797, 0.4128, 0.8330], [0.7797, 0.8669, 0.9467], [0.8330, 0.5533, 0.4202], [0.8330, 0.7797, 0.4128], [0.8669, 0.4202, 0.0872], [0.8669, 0.9467, 0.7797], [0.9128, 0.1331, 0.5798], [0.9128, 0.2797, 0.3330], [0.9202, 0.0533, 0.3330], [0.9202, 0.3669, 0.5872], [0.9467, 0.6670, 0.0798], [0.9467, 0.7797, 0.8669]]
}

Entry 5:
{
  "formula": "Pr3Cu3Pt",
  "functional": "PBE",
  "state": "optimized geometry",
  "magmom_total_mub_per_fu": 0.000,
  "dos_at_fermi_per_ev_fu": 6.13,
  "ef_mev_per_atom": -415,
  "cell": [[-1.9673, 2.1721, 9.5735], [1.9673, -2.1721, 9.5735], [1.9673, 2.1721, -9.5735]],
  "species": ["Pr", "Pr", "Pr", "Cu", "Cu", "Cu", "Pt"],
  "fractional_positions": [[0.0000, 0.0000, 0.0000], [0.3638, 0.3638, 0.0000], [0.6867, 0.1867, 0.5000], [0.1153, 0.6153, 0.5000], [0.5472, 0.5472, 0.0000], [0.8265, 0.8265, 0.0000], [0.2480, 0.7480, 0.5000]]
}

Entry 6:
{
  "formula": "Tb4NdDy7",
  "functional": "PBE",
  "state": "optimized geometry",
  "magmom_total_mub_per_fu": 0.001,
  "dos_at_fermi_per_ev_fu": 20.01,
  "ef_mev_per_atom": 269,
  "relative_energy_ev_per_fu": 3.22,
  "cell": [[6.0322, -2.9429, 0.0000], [6.0322, 2.9429, 0.0000], [-5.9341, 0.0000, 11.1652]],
  "species": ["Tb", "Tb", "Tb", "Tb", "Nd", "Dy", "Dy", "Dy", "Dy", "Dy", "Dy", "Dy"],
  "fractional_positions": [[0.1339, 0.1339, 0.2753], [0.2541, 0.2541, 0.8190], [0.7459, 0.7459, 0.1810], [0.8661, 0.8661, 0.7247], [0.5000, 0.5000, 0.5000], [0.0000, 0.0000, 0.5000], [0.1330, 0.1330, 0.0019], [0.2892, 0.2892, 0.5777], [0.4393, 0.4393, 0.1727], [0.5607, 0.5607, 0.8273], [0.7108, 0.7108, 0.4223], [0.8670, 0.8670, 0.9981]]
}

Entry 7:
{
  "formula": "Rb2BiAsIr",
  "functional": "PBE",
  "state": "optimized geometry",
  "magmom_total_mub_per_fu": 1.804,
  "dos_at_fermi_per_ev_fu": 3.17,
  "ef_mev_per_atom": 554,
  "cell": [[6.5528, 0.0000, 0.0000], [0.0000, 6.5528, 0.0000], [0.0000, 0.0000, 5.0664]],
  "species": ["Rb", "Rb", "Bi", "As", "Ir"],
  "fractional_positions": [[0.0000, 0.5000, 0.0000], [0.5000, 0.0000, 0.0000], [0.0000, 0.0000, 0.5000], [0.5000, 0.5000, 0.5000], [0.0000, 0.0000, 0.0000]]
}

Entry 8:
{
  "formula": "PrSmAg4",
  "functional": "PBE",
  "state": "optimized geometry",
  "magmom_total_mub_per_fu": 0.000,
  "dos_at_fermi_per_ev_fu": 3.72,
  "ef_mev_per_atom": 9,
  "relative_energy_ev_per_fu": 1.61,
  "cell": [[3.5127, 0.0000, 0.0000], [0.0000, 4.3717, 0.0000], [-0.0088, 0.0000, 9.9282]],
  "species": ["Pr", "Sm", "Ag", "Ag", "Ag", "Ag"],
  "fractional_positions": [[0.0000, 0.0000, 0.0000], [0.5000, 0.5000, 0.5000], [0.0000, 0.5000, 0.2353], [0.0000, 0.5000, 0.7647], [0.5001, 0.0000, 0.2740], [0.4999, 0.0000, 0.7260]]
}

Entry 9:
{
  "formula": "CsLi2SmCl6",
  "functional": "PBE",
  "state": "optimized geometry",
  "e_form_raw_kcal_per_mol_atoms": -47.32,
  "magmom_total_mub_per_fu": 0.000,
  "dos_at_fermi_per_ev_fu": 0.00,
  "cell": [[6.6986, 0.0000, 0.0000], [3.3490, 5.8038, 0.0000], [3.3423, 1.9305, 8.3742]],
  "species": ["Cs", "Li", "Li", "Sm", "Cl", "Cl", "Cl", "Cl", "Cl", "Cl"],
  "fractional_positions": [[0.0000, 0.0000, 0.0000], [0.1722, 0.1718, 0.4842], [0.8278, 0.8282, 0.5158], [0.5000, 0.5000, 0.5000], [0.0999, 0.7836, 0.6736], [0.2171, 0.5564, 0.3260], [0.4428, 0.1002, 0.6738], [0.5572, 0.8998, 0.3262], [0.7829, 0.4436, 0.6740], [0.9001, 0.2164, 0.3264]]
}

Entry 10:
{
  "formula": "LaPb2W",
  "functional": "PBE",
  "state": "optimized geometry",
  "magmom_total_mub_per_fu": 0.000,
  "dos_at_fermi_per_ev_fu": 3.04,
  "ef_mev_per_atom": 393,
  "relative_energy_ev_per_fu": 0.07,
  "cell": [[3.5623, 0.0000, 0.0000], [0.0000, 3.5623, 0.0000], [0.0000, 0.0000, 7.8302]],
  "species": ["La", "Pb", "Pb", "W"],
  "fractional_positions": [[0.0000, 0.0000, 0.0000], [0.5000, 0.5000, 0.2932], [0.5000, 0.5000, 0.7068], [0.0000, 0.0000, 0.5000]]
}

no.,E_tot (Ry per atom)
1,-0.5572
2,-0.3364
3,-0.2526
4,-0.4631
5,-0.3735
6,-0.3202
7,-0.2434
8,-0.2554
9,-0.3013
10,-0.4360